# 1
Material: KBiPb2
Method: DFT, PBE
State: optimized geometry Values from VASP.

Values from the calculation:
**Energy**: -0.2325 Ry/atom
**Mass density**: 7.26 Mg/m³
**Space-group type**: I-42d (122)
**Energy of formation**: -6.25 kJ/mol of atoms
**Volume**: 606.3 Å³ per cell

Geometry as Quantum ESPRESSO input:
```
&SYSTEM
  ibrav = 0, nat = 16, ntyp = 3
/
ATOMIC_SPECIES
K 39.10 K.upf
Bi 208.98 Bi.upf
Pb 207.20 Pb.upf
ATOMIC_POSITIONS angstrom
K 0.000 0.000 0.000
K 0.000 4.671 1.737
K 4.671 0.000 5.210
K 4.671 4.671 3.473
Bi 0.000 0.000 3.473
Bi 0.000 4.671 5.210
Bi 4.671 0.000 1.737
Bi 4.671 4.671 0.000
Pb 1.925 2.336 4.341
Pb 2.336 6.596 6.078
Pb 2.336 7.418 2.605
Pb 2.747 2.336 0.868
Pb 6.596 7.007 0.868
Pb 7.007 1.925 2.605
Pb 7.007 2.747 6.078
Pb 7.418 7.007 4.341
CELL_PARAMETERS angstrom
9.342 0.000 0.000
0.000 9.342 0.000
0.000 0.000 6.946
```

# 2
Material: Zn2ReSe
Method: DFT, PBE
State: optimized geometry Values from VASP.

Values from the calculation:
**Energy**: -0.3116 Ry/atom
**Mass density**: 9.55 Mg/m³
**Space-group type**: P4/mmm (123)
**ΔE_f (raw)**: 381 meV/atom
**Distance to the lowest polymorph of the same formula**: 188 meV per atom
**Volume**: 68.8 Å³ per cell

Geometry as Quantum ESPRESSO input:
```
&SYSTEM
  ibrav = 0, nat = 4, ntyp = 3
/
ATOMIC_SPECIES
Zn 65.41 Zn.upf
Re 186.21 Re.upf
Se 78.96 Se.upf
ATOMIC_POSITIONS angstrom
Zn 0.000 0.000 1.885
Zn 0.000 0.000 7.078
Re 1.386 1.386 0.000
Se 1.386 1.386 4.481
CELL_PARAMETERS angstrom
2.771 0.000 0.000
0.000 2.771 0.000
0.000 0.000 8.963
```

# 3
Material: MgAu
Method: DFT, PBE
State: optimized geometry Values from VASP.

Values from the calculation:
**Energy**: -0.2073 Ry/atom
**Mass density**: 9.23 Mg/m³
**Space-group type**: R-3m (166)
**Energy of formation**: -37.15 kJ/mol of atoms
**Volume**: 119.4 Å³ per cell

Geometry as Quantum ESPRESSO input:
```
&SYSTEM
  ibrav = 0, nat = 6, ntyp = 2
/
ATOMIC_SPECIES
Mg 24.30 Mg.upf
Au 196.97 Au.upf
ATOMIC_POSITIONS angstrom
Mg 0.000 0.000 0.000
Mg 0.000 1.965 7.938
Mg 1.702 0.982 3.969
Au 0.000 0.000 5.954
Au 0.000 1.965 1.985
Au 1.702 0.982 9.923
CELL_PARAMETERS angstrom
3.403 0.000 0.000
-1.702 2.947 0.000
0.000 0.000 11.907
```

# 4
Material: RbReNi
Method: DFT, PBE
State: optimized geometry Values from VASP.

Values from the calculation:
**Energy**: -0.4238 Ry/atom
**Mass density**: 5.93 Mg/m³
**Space-group type**: P1 (1)
**Distance to the lowest polymorph of the same formula**: 100 meV per atom
**Energy of formation**: 61.08 kJ/mol of atoms
**Volume**: 185.1 Å³ per cell

Geometry as Quantum ESPRESSO input:
```
&SYSTEM
  ibrav = 0, nat = 6, ntyp = 3
/
ATOMIC_SPECIES
Rb 85.47 Rb.upf
Re 186.21 Re.upf
Ni 58.69 Ni.upf
ATOMIC_POSITIONS angstrom
Rb 0.000 0.000 0.000
Rb 2.016 1.852 4.679
Re 2.016 3.465 9.113
Re 3.934 2.652 7.891
Ni 2.017 4.401 6.938
Ni 3.933 5.145 8.427
CELL_PARAMETERS angstrom
3.834 0.000 0.000
1.916 4.099 0.000
0.096 1.772 11.775
```